# 1
The following is a PBE-GGA calculation of a relaxed structure of ReP2Ir, from Alexandria via LeMat-Bulk.

energy relative to the elements: -0.34 eV per formula unit
offset from the most stable computed form: 218 meV per atom
theoretical density: 13.38 g cm⁻³

Geometry as POSCAR:
```
ReP2Ir
1.0
4.061 0.000 0.000
0.000 2.920 0.000
-1.975 0.000 4.610
Re P Ir
1 2 1
direct
0.000 0.000 0.000
0.000 0.000 0.500
0.500 0.500 0.000
0.500 0.500 0.500
```

***

# 2
The following is a PBE-GGA calculation of a relaxed structure of ReP2Ir, from Alexandria via LeMat-Bulk.

energy relative to the elements: -0.05 eV per formula unit
offset from the most stable computed form: 289 meV per atom
theoretical density: 12.71 g cm⁻³

Geometry as POSCAR:
```
ReP2Ir
1.0
1.499 0.865 7.398
-1.499 0.865 7.398
0.000 -1.730 7.398
Re P Ir
1 2 1
direct
0.000 0.000 0.000
0.489 0.489 0.489
0.739 0.739 0.739
0.227 0.227 0.227
```